# LaNd2Ho2Er2

A relaxed structure of LaNd2Ho2Er2 (PBE, the Alexandria database).

Geometry as extended XYZ:
```
7
Lattice="5.837 -1.743 0.000 5.837 1.743 0.000 -2.455 0.000 11.655" Properties=species:S:1:pos:R:3 pbc="T T T"
La 0.000 0.000 0.000
Nd 3.120 0.000 1.574
Nd 6.099 0.000 10.081
Ho 3.008 0.000 8.380
Ho 6.211 0.000 3.275
Er 2.941 0.000 4.986
Er 6.277 0.000 6.669
```

calculated total energy = -31.521 eV per cell
space-group type = C2/m (12)